# 1
Density functional theory data (GGA-PBE) for a relaxed structure of NaTbMg.

Computed properties:
The crystal system is hexagonal. Its energy above the most stable polymorph in this dataset is 58.0 meV per atom. The value obtained for the energy relative to the elements is 160 meV/atom.

Cell: 5.5162 5.5162 3.2711 Å, 90.00 90.00 120.00°
Space group P-6m2 (No. 187)
Symmetry-distinct sites (fractional):
1 Na 0.0000 0.0000 0.0000 (multiplicity 1)
2 Tb 0.3333 0.6667 0.5000 (multiplicity 1)
3 Mg 0.6667 0.3333 0.0000 (multiplicity 1)

# 2
Density functional theory data (GGA-PBE) for a relaxed structure of FeCuBiH2.

Computed properties:
The crystal system is tetragonal. For the electronic total energy, the calculation gives -3.69 eV/atom.

Cell: 3.820 3.820 5.669 Å, 90.00 90.00 90.00°
Space group P4/mmm (No. 123)
Symmetry-distinct sites (fractional):
1 Fe 0.000 0.000 0.000 (multiplicity 1)
2 Cu 0.500 0.500 0.000 (multiplicity 1)
3 Bi 0.000 0.000 0.500 (multiplicity 1)
4 H 0.000 0.500 0.500 (multiplicity 2)

# 3
Density functional theory data (GGA-PBE) for a relaxed structure of SrLaY3.

Computed properties:
The crystal system is cubic. Its energy above the most stable polymorph in this dataset is 0.0 meV per atom. The value obtained for the energy relative to the elements is 532 meV/atom.

Cell: 5.793 5.793 5.793 Å, 90.00 90.00 90.00°
Space group Pm-3m (No. 221)
Symmetry-distinct sites (fractional):
1 Sr 0.000 0.000 0.000 (multiplicity 1)
2 La 0.500 0.500 0.500 (multiplicity 1)
3 Y 0.000 0.500 0.500 (multiplicity 3)

# 4
Density functional theory data (GGA-PBE) for a relaxed structure of Er3Tm3Cd.

Computed properties:
The crystal system is hexagonal. The value obtained for the energy relative to the elements is -32 meV/atom.

Cell: 9.2436 9.2436 5.4606 Å, 90.00 90.00 120.00°
Space group P6_3/m (No. 176)
Symmetry-distinct sites (fractional):
1 Er 0.0629 0.8198 0.2500 (multiplicity 6)
2 Tm 0.1066 0.6266 0.7500 (multiplicity 6)
3 Cd 0.3333 0.6667 0.2500 (multiplicity 2)